Entry 1:
12
Lattice="3.8298 0.0000 0.0000 -1.9149 3.3167 0.0000 0.0000 0.0000 31.2912" Properties=species:S:1:pos:R:3 comment="SmTh2Si, relaxed, DFT PBE" total_energy_ry_per_atom=-0.45267 total_magnetization_mub_per_fu=0.6 spacegroup="No. 166" vol_a3_per_fu=132.5 pbc="T T T"
Sm 0.0000 0.0000 0.0000
Sm 0.0000 2.2111 20.8608
Sm 1.9149 1.1056 10.4304
Th 0.0000 0.0000 3.4052
Th 0.0000 0.0000 27.8861
Th 0.0000 2.2111 17.4557
Th 0.0000 2.2111 24.2660
Th 1.9149 1.1056 7.0252
Th 1.9149 1.1056 13.8356
Si 0.0000 0.0000 15.6456
Si 0.0000 2.2111 5.2152
Si 1.9149 1.1056 26.0760

Entry 2:
18
Lattice="9.1376 0.0000 0.0000 0.0000 9.1376 0.0000 0.0000 0.0000 5.8929" Properties=species:S:1:pos:R:3 comment="Sm4ThSi4, relaxed, DFT PBE" total_energy_ry_per_atom=-0.42123 total_magnetization_mub_per_fu=0.0 spacegroup="No. 86" vol_a3_per_fu=246.0 pbc="T T T"
Sm 0.5542 6.1036 0.7442
Sm 1.5348 8.5834 3.6907
Sm 3.0339 5.1230 3.6907
Sm 4.0146 7.6027 0.7442
Sm 5.1230 1.5348 5.1487
Sm 6.1036 4.0146 2.2022
Sm 7.6027 0.5542 2.2022
Sm 8.5834 3.0339 5.1487
Th 2.2844 2.2844 1.4732
Th 6.8532 6.8532 4.4197
Si 0.1812 5.5978 3.6390
Si 1.0291 8.9564 0.6925
Si 3.5397 4.7500 0.6925
Si 4.3876 8.1085 3.6390
Si 4.7500 1.0291 2.2539
Si 5.5978 4.3876 5.2004
Si 8.1085 0.1812 5.2004
Si 8.9564 3.5397 2.2539

Entry 3:
12
Lattice="4.1119 0.0000 0.0000 0.0000 4.1119 0.0000 0.0000 0.0000 14.4138" Properties=species:S:1:pos:R:3 comment="SmThSi4, relaxed, DFT PBE" total_energy_ry_per_atom=-0.45819 total_magnetization_mub_per_fu=0.0 spacegroup="No. 119" vol_a3_per_fu=121.9 pbc="T T T"
Sm 0.0000 0.0000 0.0000
Sm 2.0559 2.0559 7.2069
Th 0.0000 2.0559 10.8103
Th 2.0559 0.0000 3.6034
Si 0.0000 0.0000 6.0171
Si 0.0000 0.0000 8.3967
Si 0.0000 2.0559 2.3933
Si 0.0000 2.0559 4.8136
Si 2.0559 0.0000 9.6002
Si 2.0559 0.0000 12.0205
Si 2.0559 2.0559 1.1898
Si 2.0559 2.0559 13.2240